[1]
Density functional theory data (GGA-PBE) for a relaxed In4HgP crystal.

Cell lengths 8.686, 8.686, 8.686 Å; angles 90.00, 90.00, 90.00 degrees
Space group F-43m (No. 216)
Inequivalent atoms, fractional coordinates:
In 0.124 0.124 0.124 x16
Hg 0.000 0.000 0.500 x4
P 0.250 0.250 0.750 x4

Summary:
Magnetization = 0.3 μB per formula unit
Calculated density = 7.00 g cm⁻³
Energy of formation from the pure elements = 0.407 eV/atom


[2]
Density functional theory data (GGA-PBE) for a relaxed Ho5ZrRh6 crystal.

Cell lengths 4.736, 14.265, 6.942 Å; angles 90.00, 90.00, 90.00 degrees
Space group Cmmm (No. 65)
Inequivalent atoms, fractional coordinates:
Ho 0.000 0.000 0.000 x2
Ho 0.000 0.333 0.500 x4
Ho 0.000 0.334 0.000 x4
Zr 0.000 0.000 0.500 x2
Rh 0.000 0.161 0.255 x8
Rh 0.000 0.500 0.264 x4

Summary:
Magnetization = 0.0 μB per formula unit
Calculated density = 10.86 g cm⁻³
Energy of formation from the pure elements = -0.884 eV/atom


[3]
Density functional theory data (GGA-PBE) for a relaxed In4Co5 crystal.

Cell lengths 8.338, 8.338, 4.093 Å; angles 90.00, 90.00, 90.00 degrees
Space group I4/mmm (No. 139)
Inequivalent atoms, fractional coordinates:
In 0.000 0.304 0.000 x8
Co 0.000 0.000 0.000 x2
Co 0.147 0.147 0.500 x8

Summary:
Magnetization = 6.4 μB per formula unit
Calculated density = 8.80 g cm⁻³
Energy of formation from the pure elements = 0.240 eV/atom


[4]
Density functional theory data (GGA-PBE) for a relaxed BaCrCl2 crystal.

Cell lengths 3.892, 3.892, 8.167 Å; angles 90.00, 90.00, 90.00 degrees
Space group P4/mmm (No. 123)
Inequivalent atoms, fractional coordinates:
Ba 0.000 0.000 0.000 x1
Cr 0.000 0.000 0.500 x1
Cl 0.500 0.500 0.205 x2

Summary:
Magnetization = 5.8 μB per formula unit
ΔE_f (raw) = -824 meV per atom
Calculated density = 3.49 g cm⁻³


[5]
Density functional theory data (GGA-PBE) for a relaxed LaPr4NdHo2 crystal.

Cell lengths 6.326, 3.684, 12.163 Å; angles 90.00, 100.16, 90.00 degrees
Space group P2/m (No. 10)
Inequivalent atoms, fractional coordinates:
La 0.000 0.000 0.000 x1
Pr 0.251 0.000 0.751 x2
Pr 0.252 0.500 0.253 x2
Nd 0.000 0.500 0.500 x1
Ho 0.500 0.000 0.500 x1
Ho 0.500 0.500 0.000 x1

Summary:
Magnetization = 0.0 μB per formula unit
Calculated density = 7.00 g cm⁻³
Energy of formation from the pure elements = 0.017 eV/atom


[6]
Density functional theory data (GGA-PBE) for a relaxed Rb3TlCu2I8 crystal.

Cell lengths 8.4597, 8.4597, 10.2826 Å; angles 90.00, 90.00, 120.00 degrees
Space group P-3m1 (No. 164)
Inequivalent atoms, fractional coordinates:
Rb 0.0000 0.0000 0.0000 x1
Rb 0.3333 0.6667 0.6104 x2
Tl 0.0000 0.0000 0.5000 x1
Cu 0.3333 0.6667 0.2006 x2
I 0.1706 0.3412 0.3106 x6
I 0.3333 0.6667 0.9590 x2

Summary:
Magnetization = 0.0 μB per formula unit
ΔE_f (raw) = -740 meV per atom
Calculated density = 4.18 g cm⁻³


[7]
Density functional theory data (GGA-PBE) for a relaxed PuThCo crystal.

Cell lengths 6.656, 6.656, 6.656 Å; angles 90.00, 90.00, 90.00 degrees
Space group F-43m (No. 216)
Inequivalent atoms, fractional coordinates:
Pu 0.000 0.000 0.000 x4
Th 0.000 0.000 0.500 x4
Co 0.250 0.250 0.250 x4

Summary:
Magnetization = 6.1 μB per formula unit
Calculated density = 12.05 g cm⁻³
Energy of formation from the pure elements = 0.111 eV/atom


[8]
Density functional theory data (GGA-PBE) for a relaxed K2AgW crystal.

Cell lengths 4.558, 4.569, 5.550 Å; angles 90.00, 90.00, 90.00 degrees
Space group Pmmm (No. 47)
Inequivalent atoms, fractional coordinates:
K 0.000 0.000 0.000 x1
K 0.500 0.500 0.000 x1
Ag 0.000 0.500 0.500 x1
W 0.500 0.000 0.500 x1

Summary:
Magnetization = 4.2 μB per formula unit
Calculated density = 5.31 g cm⁻³
Energy of formation from the pure elements = 1.484 eV/atom


[9]
Density functional theory data (GGA-PBE) for a relaxed HoTlS3 crystal.

Cell lengths 4.132, 16.941, 7.094 Å; angles 90.00, 90.00, 90.00 degrees
Space group Cmcm (No. 63)
Inequivalent atoms, fractional coordinates:
Ho 0.000 0.198 0.250 x4
Tl 0.000 0.444 0.250 x4
S 0.000 0.030 0.250 x4
S 0.000 0.329 0.006 x8

Summary:
Magnetization = 0.0 μB per formula unit
ΔE_f (raw) = -1034 meV per atom
Calculated density = 6.23 g cm⁻³


[10]
Density functional theory data (GGA-PBE) for a relaxed RbSb2F7 crystal.

Cell lengths 13.025, 6.598, 9.102 Å; angles 90.00, 101.05, 90.00 degrees
Space group P2_1/c (No. 14)
Inequivalent atoms, fractional coordinates:
Rb 0.111 0.239 0.419 x4
Sb 0.213 0.744 0.711 x4
Sb 0.414 0.209 0.824 x4
F 0.095 0.553 0.635 x4
F 0.103 0.538 0.174 x4
F 0.171 0.701 0.908 x4
F 0.289 0.084 0.282 x4
F 0.300 0.018 0.878 x4
F 0.354 0.120 0.618 x4
F 0.496 0.074 0.185 x4

Summary:
Magnetization = 0.0 μB per formula unit
ΔE_f (raw) = -2521 meV per atom
Calculated density = 4.00 g cm⁻³


[11]
Density functional theory data (GGA-PBE) for a relaxed ReAu2Cl crystal.

Cell lengths 4.744, 2.833, 5.424 Å; angles 90.00, 107.01, 90.00 degrees
Space group P2/m (No. 10)
Inequivalent atoms, fractional coordinates:
Re 0.000 0.000 0.000 x1
Au 0.000 0.500 0.500 x1
Au 0.500 0.000 0.500 x1
Cl 0.500 0.500 0.000 x1

Summary:
Magnetization = 0.6 μB per formula unit
ΔE_f (raw) = 871 meV per atom
Calculated density = 14.66 g cm⁻³


[12]
Density functional theory data (GGA-PBE) for a relaxed YTaCd2 crystal.

Cell lengths 3.1040, 3.1040, 32.0027 Å; angles 90.00, 90.00, 120.00 degrees
Space group R-3m (No. 166, hexagonal axes)
Inequivalent atoms, fractional coordinates:
Y 0.0000 0.0000 0.0000 x3
Ta 0.0000 0.0000 0.5000 x3
Cd 0.0000 0.0000 0.2452 x6

Summary:
Magnetization = 0.0 μB per formula unit
Calculated density = 9.23 g cm⁻³
Energy of formation from the pure elements = 0.254 eV/atom


[13]
Density functional theory data (GGA-PBE) for a relaxed Np2PaPd2S6 crystal.

Cell lengths 6.5192, 6.5192, 6.4399 Å; angles 90.00, 90.00, 120.00 degrees
Space group P-31m (No. 162)
Inequivalent atoms, fractional coordinates:
Np 0.3333 0.6667 0.0000 x2
Pa 0.0000 0.0000 0.5000 x1
Pd 0.3333 0.6667 0.5000 x2
S 0.0000 0.3387 0.7434 x6

Summary:
Magnetization = 7.0 μB per formula unit
ΔE_f (raw) = -1038 meV per atom
Calculated density = 7.78 g cm⁻³


[14]
Density functional theory data (GGA-PBE) for a relaxed Pm2Nd3In3 crystal.

Cell lengths 4.524, 5.058, 21.075 Å; angles 90.00, 90.00, 90.00 degrees
Space group Immm (No. 71)
Inequivalent atoms, fractional coordinates:
Pm 0.000 0.000 0.237 x4
Nd 0.000 0.000 0.000 x2
Nd 0.000 0.500 0.119 x4
In 0.000 0.000 0.500 x2
In 0.000 0.500 0.375 x4

Summary:
Magnetization = 0.0 μB per formula unit
Calculated density = 7.35 g cm⁻³
Energy of formation from the pure elements = -0.362 eV/atom


[15]
Density functional theory data (GGA-PBE) for a relaxed RbLa2AlO5 crystal.

Cell lengths 7.026, 7.026, 11.206 Å; angles 90.00, 90.00, 90.00 degrees
Space group I4/mcm (No. 140)
Inequivalent atoms, fractional coordinates:
Rb 0.000 0.000 0.250 x4
La 0.187 0.313 0.000 x8
Al 0.000 0.500 0.250 x4
O 0.000 0.000 0.000 x4
O 0.131 0.369 0.361 x16

Summary:
Magnetization = 0.0 μB per formula unit
ΔE_f (raw) = -2946 meV per atom
Calculated density = 5.65 g cm⁻³


[16]
Density functional theory data (GGA-PBE) for a relaxed NbOsCl2 crystal.

Cell lengths 5.441, 5.441, 10.843 Å; angles 90.00, 90.00, 90.00 degrees
Space group I-42d (No. 122)
Inequivalent atoms, fractional coordinates:
Nb 0.000 0.000 0.000 x4
Os 0.000 0.000 0.500 x4
Cl 0.235 0.250 0.625 x8

Summary:
Magnetization = 0.6 μB per formula unit
ΔE_f (raw) = 1068 meV per atom
Calculated density = 7.32 g cm⁻³


[17]
Density functional theory data (GGA-PBE) for a relaxed CsBa2LiAg crystal.

Cell lengths 6.630, 6.630, 5.862 Å; angles 90.00, 90.00, 90.00 degrees
Space group P4/mmm (No. 123)
Inequivalent atoms, fractional coordinates:
Cs 0.000 0.000 0.000 x1
Ba 0.000 0.500 0.500 x2
Li 0.500 0.500 0.000 x1
Ag 0.500 0.500 0.500 x1

Summary:
Magnetization = 0.0 μB per formula unit
Calculated density = 3.37 g cm⁻³
Energy of formation from the pure elements = 0.061 eV/atom